Record 1
Compound: La2CoC4
Source: Alexandria
Functional: PBE
Structure: relaxed

The structure in CIF format:
```
data_La2CoC4
_chemical_formula_sum 'La8 Co4 C16'
_cell_length_a 7.488
_cell_length_b 10.661
_cell_length_c 5.317
_cell_angle_alpha 90.00
_cell_angle_beta 90.00
_cell_angle_gamma 90.00
_symmetry_space_group_name_H-M 'I b a m'
_symmetry_Int_Tables_number 72
_symmetry_space_group_name_Hall '-I 2 2c'
loop_
_atom_site_label
_atom_site_type_symbol
_atom_site_fract_x
_atom_site_fract_y
_atom_site_fract_z
_atom_site_occupancy
La1 La 0.173 0.144 0.000 1
Co1 Co 0.000 0.500 0.250 1
C1 C 0.161 0.422 0.000 1
C2 C 0.169 0.121 0.500 1
```

Properties
N(E_F)	3.58	states/eV/f.u.
magnetic moment	0.0	μB/cell
crystal system	orthorhombic
V	15.2	Å³ per atom
E_form	-167	meV per atom

---

Record 2
Compound: LaCo3C
Source: Alexandria
Functional: PBE
Structure: relaxed

The structure in CIF format:
```
data_LaCo3C
_chemical_formula_sum 'La2 Co6 C2'
_cell_length_a 5.6624
_cell_length_b 5.6624
_cell_length_c 4.9338
_cell_angle_alpha 90.00
_cell_angle_beta 90.00
_cell_angle_gamma 120.00
_symmetry_space_group_name_H-M 'P 63/m m c'
_symmetry_Int_Tables_number 194
_symmetry_space_group_name_Hall '-P 6c 2c'
loop_
_atom_site_label
_atom_site_type_symbol
_atom_site_fract_x
_atom_site_fract_y
_atom_site_fract_z
_atom_site_occupancy
La1 La 0.3333 0.6667 0.2500 1
Co1 Co 0.1503 0.3006 0.7500 1
C1 C 0.0000 0.0000 0.0000 1
```

Properties
N(E_F)	0.17	states/eV/f.u.
magnetic moment	0.0	μB/cell
crystal system	hexagonal
V	13.7	Å³ per atom
E_form	89	meV per atom

---

Record 3
Compound: La2Co3C2
Source: Alexandria
Functional: PBE
Structure: relaxed

The structure in CIF format:
```
data_La2Co3C2
_chemical_formula_sum 'La4 Co6 C4'
_cell_length_a 10.399
_cell_length_b 3.575
_cell_length_c 6.242
_cell_angle_alpha 90.00
_cell_angle_beta 111.84
_cell_angle_gamma 90.00
_symmetry_space_group_name_H-M 'C 1 2/m 1'
_symmetry_Int_Tables_number 12
_symmetry_space_group_name_Hall '-C 2y'
loop_
_atom_site_label
_atom_site_type_symbol
_atom_site_fract_x
_atom_site_fract_y
_atom_site_fract_z
_atom_site_occupancy
La1 La 0.103 0.000 0.306 1
Co1 Co 0.000 0.500 0.500 1
Co2 Co 0.185 0.500 0.883 1
C1 C 0.212 0.000 0.790 1
```

Properties
N(E_F)	5.71	states/eV/f.u.
magnetic moment	0.0	μB/cell
crystal system	monoclinic
V	15.4	Å³ per atom
E_form	77	meV per atom

---

Record 4
Compound: LaCoC3
Source: Alexandria
Functional: PBE
Structure: relaxed

The structure in CIF format:
```
data_LaCoC3
_chemical_formula_sum 'La1 Co1 C3'
_cell_length_a 3.917
_cell_length_b 3.917
_cell_length_c 3.917
_cell_angle_alpha 90.00
_cell_angle_beta 90.00
_cell_angle_gamma 90.00
_symmetry_space_group_name_H-M 'P m -3 m'
_symmetry_Int_Tables_number 221
_symmetry_space_group_name_Hall '-P 4 2 3'
loop_
_atom_site_label
_atom_site_type_symbol
_atom_site_fract_x
_atom_site_fract_y
_atom_site_fract_z
_atom_site_occupancy
La1 La 0.000 0.000 0.000 1
Co1 Co 0.500 0.500 0.500 1
C1 C 0.000 0.500 0.500 1
```

Properties
N(E_F)	4.66	states/eV/f.u.
relative energy among the computed polymorphs	0.000	eV per atom
magnetic moment	3.4	μB/cell
crystal system	cubic
V	12.0	Å³ per atom
E_form	1137	meV per atom

---

Record 5
Compound: La6Co2C
Source: Alexandria
Functional: PBE
Structure: relaxed

The structure in CIF format:
```
data_La6Co2C
_chemical_formula_sum 'La12 Co4 C2'
_cell_length_a 17.416
_cell_length_b 3.958
_cell_length_c 8.129
_cell_angle_alpha 90.00
_cell_angle_beta 103.98
_cell_angle_gamma 90.00
_symmetry_space_group_name_H-M 'C 1 2/m 1'
_symmetry_Int_Tables_number 12
_symmetry_space_group_name_Hall '-C 2y'
loop_
_atom_site_label
_atom_site_type_symbol
_atom_site_fract_x
_atom_site_fract_y
_atom_site_fract_z
_atom_site_occupancy
La1 La 0.005 0.000 0.228 1
La2 La 0.150 0.500 0.081 1
La3 La 0.176 0.500 0.578 1
Co1 Co 0.160 0.000 0.326 1
C1 C 0.000 0.500 0.000 1
```

Properties
N(E_F)	9.65	states/eV/f.u.
magnetic moment	1.0	μB/cell
crystal system	monoclinic
V	30.2	Å³ per atom
E_form	-82	meV per atom

---

Record 6
Compound: La2Co17C2
Source: Alexandria
Functional: PBE
Structure: relaxed

The structure in CIF format:
```
data_La2Co17C2
_chemical_formula_sum 'La4 Co34 C4'
_cell_length_a 9.492
_cell_length_b 8.669
_cell_length_c 6.437
_cell_angle_alpha 90.00
_cell_angle_beta 98.18
_cell_angle_gamma 90.00
_symmetry_space_group_name_H-M 'C 1 2/m 1'
_symmetry_Int_Tables_number 12
_symmetry_space_group_name_Hall '-C 2y'
loop_
_atom_site_label
_atom_site_type_symbol
_atom_site_fract_x
_atom_site_fract_y
_atom_site_fract_z
_atom_site_occupancy
La1 La 0.140 0.000 0.324 1
Co1 Co 0.000 0.229 0.000 1
Co2 Co 0.000 0.500 0.500 1
Co3 Co 0.095 0.500 0.905 1
Co4 Co 0.104 0.261 0.659 1
Co5 Co 0.142 0.359 0.285 1
Co6 Co 0.161 0.000 0.865 1
Co7 Co 0.250 0.250 0.000 1
C1 C 0.250 0.250 0.500 1
```

Properties
N(E_F)	25.24	states/eV/f.u.
magnetic moment	42.6	μB/cell
crystal system	monoclinic
V	12.5	Å³ per atom
E_form	1	meV per atom

---

Record 7
Compound: La12Co3C5
Source: Alexandria
Functional: PBE
Structure: relaxed

The structure in CIF format:
```
data_La12Co3C5
_chemical_formula_sum 'La96 Co24 C40'
_cell_length_a 16.043
_cell_length_b 16.043
_cell_length_c 16.043
_cell_angle_alpha 90.00
_cell_angle_beta 90.00
_cell_angle_gamma 90.00
_symmetry_space_group_name_H-M 'I a -3 d'
_symmetry_Int_Tables_number 230
_symmetry_space_group_name_Hall '-I 4bd 2c 3'
loop_
_atom_site_label
_atom_site_type_symbol
_atom_site_fract_x
_atom_site_fract_y
_atom_site_fract_z
_atom_site_occupancy
La1 La 0.025 0.057 0.652 1
Co1 Co 0.000 0.250 0.125 1
C1 C 0.000 0.000 0.000 1
C2 C 0.000 0.250 0.375 1
```

Properties
N(E_F)	14.74	states/eV/f.u.
magnetic moment	0.0	μB/cell
crystal system	cubic
V	25.8	Å³ per atom
E_form	84	meV per atom

---

Record 8
Compound: LiLaCoC
Source: Alexandria
Functional: PBE
Structure: relaxed

The structure in CIF format:
```
data_LiLaCoC
_chemical_formula_sum 'Li2 La2 Co2 C2'
_cell_length_a 3.442
_cell_length_b 3.442
_cell_length_c 11.422
_cell_angle_alpha 90.00
_cell_angle_beta 90.00
_cell_angle_gamma 90.00
_symmetry_space_group_name_H-M 'P 4/n m m'
_symmetry_Int_Tables_number 129
loop_
_symmetry_equiv_pos_as_xyz
'x,y,z'
'-x,-y,-z'
'-y+1/2,x,z'
'y+1/2,-x,-z'
'-x+1/2,-y+1/2,z'
'x+1/2,y+1/2,-z'
'y,-x+1/2,z'
'-y,x+1/2,-z'
'x+1/2,-y,-z'
'-x+1/2,y,z'
'-y,-x,-z'
'y,x,z'
'-x,y+1/2,-z'
'x,-y+1/2,z'
'y+1/2,x+1/2,-z'
'-y+1/2,-x+1/2,z'
loop_
_atom_site_label
_atom_site_type_symbol
_atom_site_fract_x
_atom_site_fract_y
_atom_site_fract_z
_atom_site_occupancy
Li1 Li 0.250 0.750 0.000 1
La1 La 0.250 0.250 0.285 1
Co1 Co 0.250 0.750 0.500 1
C1 C 0.250 0.250 0.591 1
```

Properties
N(E_F)	2.55	states/eV/f.u.
magnetic moment	0.0	μB/cell
crystal system	tetragonal
V	16.9	Å³ per atom
E_form	-58	meV per atom

---

Record 9
Compound: LiLa2CoC
Source: Alexandria
Functional: PBE
Structure: relaxed

The structure in CIF format:
```
data_LiLa2CoC
_chemical_formula_sum 'Li1 La2 Co1 C1'
_cell_length_a 5.365
_cell_length_b 5.365
_cell_length_c 3.675
_cell_angle_alpha 90.00
_cell_angle_beta 90.00
_cell_angle_gamma 90.00
_symmetry_space_group_name_H-M 'P 4/m m m'
_symmetry_Int_Tables_number 123
_symmetry_space_group_name_Hall '-P 4 2'
loop_
_atom_site_label
_atom_site_type_symbol
_atom_site_fract_x
_atom_site_fract_y
_atom_site_fract_z
_atom_site_occupancy
Li1 Li 0.000 0.000 0.000 1
La1 La 0.000 0.500 0.500 1
Co1 Co 0.500 0.500 0.000 1
C1 C 0.500 0.500 0.500 1
```

Properties
N(E_F)	3.14	states/eV/f.u.
magnetic moment	0.0	μB/cell
crystal system	tetragonal
V	21.2	Å³ per atom
E_form	-113	meV per atom

---

Record 10
Compound: LiLaCo2C
Source: Alexandria
Functional: PBE
Structure: relaxed

The structure in CIF format:
```
data_LiLaCo2C
_chemical_formula_sum 'Li1 La1 Co2 C1'
_cell_length_a 3.980
_cell_length_b 3.980
_cell_length_c 4.202
_cell_angle_alpha 90.00
_cell_angle_beta 90.00
_cell_angle_gamma 90.00
_symmetry_space_group_name_H-M 'P 4/m m m'
_symmetry_Int_Tables_number 123
_symmetry_space_group_name_Hall '-P 4 2'
loop_
_atom_site_label
_atom_site_type_symbol
_atom_site_fract_x
_atom_site_fract_y
_atom_site_fract_z
_atom_site_occupancy
Li1 Li 0.000 0.000 0.000 1
La1 La 0.500 0.500 0.000 1
Co1 Co 0.000 0.500 0.500 1
C1 C 0.000 0.000 0.500 1
```

Properties
N(E_F)	4.06	states/eV/f.u.
magnetic moment	1.1	μB/cell
crystal system	tetragonal
V	13.3	Å³ per atom
E_form	69	meV per atom